Compound: Ni8As
Source: OQMD via LeMat-Bulk
Functional: PBE
Structure: relaxed

Summary:
Raw total energy (eV/atom): -4.48
Energy above the most stable polymorph in this dataset (meV per atom): 1010.8
Theoretical density (g cm⁻³): 7.898
Space-group type: No. 191

a = 7.303 Å, b = 2.477 Å, c = 7.304 Å
α = 90.00°, β = 119.97°, γ = 90.00°
Positions (direct):
As (0.000, 0.500, 0.000)
Ni (0.342, 0.000, 0.171)
Ni (0.829, 0.000, 0.171)
Ni (0.667, 0.000, 0.333)
Ni (0.171, 0.000, 0.342)
Ni (0.829, 0.000, 0.658)
Ni (0.333, 0.000, 0.667)
Ni (0.171, 0.000, 0.829)
Ni (0.658, 0.000, 0.829)